# 1
## Ba4LaBe (GGA-PBE)

Data for crystalline Ba4LaBe at its relaxed geometry.

Lattice parameters (Å, degrees): 7.4427 7.4427 7.4427 60.00 60.00 60.00
Closest atoms and distances in Å follow each position.
Element x y z (fractional)
1 Be 0.7500 0.7500 0.7500  12 Ba 4.36, 4 La 4.56
2 Ba 0.3754 0.3754 0.3754  6 Ba 3.71-3.73
3 Ba 0.8739 0.3754 0.3754  6 Ba 3.71-3.73
4 Ba 0.3754 0.8739 0.3754  6 Ba 3.71-3.73
5 Ba 0.3754 0.3754 0.8739  6 Ba 3.71-3.73
6 La 0.0000 0.0000 0.0000  12 Ba 4.36, 4 Be 4.56

As for the crystal system: cubic. The calculation puts the calculated formation energy at 848 meV per atom. Its symmetry is F-43m.

=====

# 2
## BaLa2Be (GGA-PBE)

Data for crystalline BaLa2Be at its relaxed geometry.

Lattice parameters (Å, degrees): 3.8789 5.7963 5.8459 90.00 90.00 90.00
Closest atoms and distances in Å follow each position.
Element x y z (fractional)
1 Be 0.0000 0.5000 0.5000  4 Ba 3.49, 4 La 3.51, 2 Be 3.88
2 Ba 0.5000 0.0000 0.5000  4 Be 3.49, 4 La 3.51, 2 Ba 3.88
3 La 0.5000 0.5000 0.0000  6 La 3.49-3.88, 4 Be 3.51
4 La 0.0000 0.0000 0.0000  6 La 3.49-3.88, 4 Ba 3.51

As for the crystal system: orthorhombic. The calculation puts the calculated formation energy at 485 meV per atom. Its symmetry is Pmmm.

=====

# 3
## BaLa2Be (GGA-PBE)

Data for crystalline BaLa2Be at its relaxed geometry.

Lattice parameters (Å, degrees): 3.7601 3.7601 9.9585 90.00 90.00 89.93
Closest atoms and distances in Å follow each position.
Element x y z (fractional)
1 La 0.0000 0.0000 0.5939  4 Be 3.08, 1 La 3.11
2 La 0.0000 0.0000 0.9061  4 Be 3.08, 1 La 3.11
3 Be 0.5000 0.5000 0.7500  8 La 3.08
4 Ba 0.5000 0.5000 0.2500  4 Ba 3.76

As for the crystal system: tetragonal. The calculation puts the calculated formation energy at 174 meV per atom. Its symmetry is P4/mmm.

=====

# 4
## BaLaBeN2 (GGA-PBE)

Data for crystalline BaLaBeN2 at its relaxed geometry.

Lattice parameters (Å, degrees): 5.5371 5.5704 7.1972 90.00 90.00 90.00
Closest atoms and distances in Å follow each position.
Element x y z (fractional)
1 La 0.5001 0.0000 0.7500  4 N 2.49
2 La 0.4999 0.0000 0.2500  4 N 2.49
3 N 0.2303 0.1541 0.0000  1 Be 1.54
4 N 0.2303 0.8459 0.5000  1 Be 1.54
5 N 0.7697 0.1541 0.5000  1 Be 1.54
6 N 0.7697 0.8459 0.0000  1 Be 1.54
7 Be 0.0000 0.0000 0.0000  2 N 1.54
8 Be 0.0000 0.0000 0.5000  2 N 1.54
9 Ba 0.0002 0.5000 0.7500  4 N 2.93
10 Ba 0.9998 0.5000 0.2500  4 N 2.93

The value obtained for the formation energy (no corrections) is -0.78 eV/atom. As for the crystal system: orthorhombic. Its symmetry is Pccm.

=====

# 5
## BaLaBeSn2 (GGA-PBE)

Data for crystalline BaLaBeSn2 at its relaxed geometry.

Lattice parameters (Å, degrees): 5.9846 5.4731 5.9846 90.00 90.00 90.00
Closest atoms and distances in Å follow each position.
Element x y z (fractional)
1 Sn 0.0000 0.0000 0.5000  2 La 2.99
2 Sn 0.5000 0.0000 0.0000  2 La 2.99
3 Ba 0.5000 0.5000 0.5000  8 Sn 4.05, 4 Be 4.23
4 La 0.0000 0.0000 0.0000  2 Be 2.74, 4 Sn 2.99
5 Be 0.0000 0.5000 0.0000  2 La 2.74

As for the crystal system: tetragonal. The calculation puts the calculated formation energy at 359 meV per atom. Its symmetry is P4/mmm.

=====

# 6
## BaSr2LaBe (GGA-PBE)

Data for crystalline BaSr2LaBe at its relaxed geometry.

Lattice parameters (Å, degrees): 6.2250 5.7305 6.2250 90.00 90.00 90.00
Closest atoms and distances in Å follow each position.
Element x y z (fractional)
1 La 0.0000 0.5000 0.0000  2 Be 2.87
2 Sr 0.5000 0.0000 0.0000  2 Be 3.11
3 Sr 0.0000 0.0000 0.5000  2 Be 3.11
4 Be 0.0000 0.0000 0.0000  2 La 2.87, 4 Sr 3.11
5 Ba 0.5000 0.5000 0.5000  8 Sr 4.23, 4 La 4.40

As for the crystal system: tetragonal. The calculation puts the calculated formation energy at 290 meV per atom. Its symmetry is P4/mmm.

=====

Calculated calculated total energy, -11.25; -13.56; -14.81; -62.22; -16.79; -12.49 eV/cell (same order as the records).